DFT (GGA-PBE) results for an optimized crystal structure of BaTl2TcCl8.

abc: 6.150 8.124 8.799
angles: 89.88 89.88 68.92
Atoms (fractional coordinates):
Ba  0.000  0.000  0.000
Tl  0.496  0.499  0.260
Tl  0.504  0.501  0.740
Tc  0.000  0.000  0.500
Cl  0.052  0.192  0.306
Cl  0.055  0.191  0.693
Cl  0.399  0.831  0.498
Cl  0.494  0.255  0.999
Cl  0.506  0.745  0.001
Cl  0.601  0.169  0.502
Cl  0.945  0.809  0.307
Cl  0.948  0.808  0.694

Values from the calculation:
SG: P-1 (2)
ΔE_f (raw): -14.9 eV per formula unit

DFT (GGA-PBE) results for an optimized crystal structure of BaV2TcCl.

abc: 4.945 4.945 4.992
angles: 90.00 90.00 90.00
Atoms (fractional coordinates):
Ba  0.000  0.000  0.000
V  0.000  0.500  0.000
V  0.500  0.000  0.000
Tc  0.000  0.000  0.500
Cl  0.500  0.500  0.500

Values from the calculation:
SG: P4/mmm (123)
ΔE_f (raw): 13.9 eV per formula unit

DFT (GGA-PBE) results for an optimized crystal structure of BaTcWCl2.

abc: 5.719 5.719 7.243
angles: 90.00 90.00 90.00
Atoms (fractional coordinates):
Ba  0.000  0.000  0.000
Tc  0.500  0.500  0.500
W  0.000  0.000  0.500
Cl  0.000  0.500  0.000
Cl  0.500  0.000  0.000

Values from the calculation:
SG: P4/mmm (123)
ΔE_f (raw): 7.1 eV per formula unit

DFT (GGA-PBE) results for an optimized crystal structure of BaTe2Cl.

abc: 5.975 5.975 5.975
angles: 127.76 108.55 93.99
Atoms (fractional coordinates):
Ba  0.000  0.000  0.000
Te  0.345  0.845  0.500
Te  0.486  0.486  0.000
Cl  0.814  0.314  0.500

Values from the calculation:
SG: Imm2 (44)
ΔE_f (raw): -4.7 eV per formula unit

DFT (GGA-PBE) results for an optimized crystal structure of BaTeCl3.

abc: 5.679 5.679 5.679
angles: 90.00 90.00 90.00
Atoms (fractional coordinates):
Ba  0.000  0.000  0.000
Te  0.500  0.500  0.500
Cl  0.000  0.500  0.500
Cl  0.500  0.000  0.500
Cl  0.500  0.500  0.000

Values from the calculation:
SG: Pm-3m (221)
ΔE_f (raw): -4.6 eV per formula unit

DFT (GGA-PBE) results for an optimized crystal structure of BaTe2Cl.

abc: 13.972 13.972 13.972
angles: 161.50 161.50 26.28
Atoms (fractional coordinates):
Ba  0.000  0.000  0.000
Ba  0.750  0.250  0.500
Te  0.121  0.625  0.996
Te  0.375  0.371  0.496
Te  0.629  0.125  0.004
Te  0.875  0.879  0.504
Cl  0.250  0.750  0.500
Cl  0.500  0.500  0.000

Values from the calculation:
SG: I-42d (122)
ΔE_f (raw): -5.1 eV per formula unit

DFT (GGA-PBE) results for an optimized crystal structure of BaTeCl.

abc: 5.647 5.647 5.647
angles: 60.00 60.00 60.00
Atoms (fractional coordinates):
Ba  0.000  0.000  0.000
Te  0.750  0.750  0.750
Cl  0.500  0.500  0.500

Values from the calculation:
SG: F-43m (216)
ΔE_f (raw): -3.3 eV per formula unit

DFT (GGA-PBE) results for an optimized crystal structure of BaTeCl2.

abc: 5.661 5.661 5.661
angles: 60.00 60.00 60.00
Atoms (fractional coordinates):
Ba  0.000  0.000  0.000
Te  0.250  0.250  0.250
Cl  0.500  0.500  0.500
Cl  0.750  0.750  0.750

Values from the calculation:
SG: F-43m (216)
ΔE_f (raw): -4.2 eV per formula unit